NaAl2Tl | PBE | optimized geometry

abc: 5.094 5.094 5.094
angles: 60.00 60.00 60.00
Fractional coordinates of all 4 atoms:
Na1 0.000 0.000 0.000
Al1 0.250 0.250 0.250
Al2 0.750 0.750 0.750
Tl1 0.500 0.500 0.500

Values from the calculation:
* density of states at the Fermi level: 0.22 states/eV/atom
* volume: 93 Å³/cell
* crystal system: cubic
* space group: Fm-3m (225)
* E above lowest polymorph: 0.0000 eV per atom


NaAl3Tl | PBE | optimized geometry

abc: 5.437 5.437 5.437
angles: 90.00 90.00 90.00
Fractional coordinates of all 5 atoms:
Na1 0.000 0.000 0.000
Al1 0.000 0.500 0.500
Al2 0.500 0.000 0.500
Al3 0.500 0.500 0.000
Tl1 0.500 0.500 0.500

Values from the calculation:
* density of states at the Fermi level: 0.47 states/eV/atom
* volume: 161 Å³/cell
* crystal system: cubic
* space group: Pm-3m (221)
* E above lowest polymorph: 0.0000 eV per atom


NaAlTl2 | PBE | optimized geometry

abc: 6.379 6.379 6.379
angles: 44.21 44.21 44.21
Fractional coordinates of all 4 atoms:
Na1 0.000 0.000 0.000
Al1 0.194 0.194 0.194
Tl1 0.571 0.571 0.571
Tl2 0.778 0.778 0.778

Values from the calculation:
* density of states at the Fermi level: 0.45 states/eV/atom
* volume: 115 Å³/cell
* crystal system: trigonal
* space group: R3m (160)


Na5AlTl6 | PBE | optimized geometry

abc: 5.567 7.155 8.676
angles: 90.00 107.22 90.00
Fractional coordinates of all 12 atoms:
Na1 0.000 0.000 0.000
Na2 0.326 0.000 0.652
Na3 0.328 0.500 0.654
Na4 0.672 0.500 0.346
Na5 0.674 0.000 0.348
Al1 0.000 0.500 0.000
Tl1 0.153 0.261 0.308
Tl2 0.153 0.739 0.308
Tl3 0.500 0.262 0.000
Tl4 0.500 0.738 0.000
Tl5 0.847 0.261 0.692
Tl6 0.847 0.739 0.692

Values from the calculation:
* density of states at the Fermi level: 0.43 states/eV/atom
* volume: 330 Å³/cell
* crystal system: monoclinic
* space group: P2/m (10)


NaAlTl | PBE | optimized geometry

abc: 6.537 6.537 6.537
angles: 148.37 148.37 45.34
Fractional coordinates of all 3 atoms:
Na1 0.000 0.000 0.000
Al1 0.328 0.328 0.000
Tl1 0.685 0.685 0.000

Values from the calculation:
* density of states at the Fermi level: 0.39 states/eV/atom
* volume: 77 Å³/cell
* crystal system: tetragonal
* space group: I4mm (107)
* E above lowest polymorph: 0.0355 eV per atom


Na2AlTl2 | PBE | optimized geometry

abc: 7.429 7.429 5.134
angles: 90.00 90.00 90.00
Fractional coordinates of all 10 atoms:
Na1 0.167 0.333 0.000
Na2 0.333 0.833 0.000
Na3 0.667 0.167 0.000
Na4 0.833 0.667 0.000
Al1 0.000 0.000 0.500
Al2 0.500 0.500 0.500
Tl1 0.147 0.647 0.500
Tl2 0.353 0.147 0.500
Tl3 0.647 0.853 0.500
Tl4 0.853 0.353 0.500

Values from the calculation:
* density of states at the Fermi level: 0.47 states/eV/atom
* volume: 283 Å³/cell
* crystal system: tetragonal
* space group: P4/mbm (127)
* E above lowest polymorph: 0.0000 eV per atom


| no. | calculated formation energy (eV per atom) | final energy (eV per atom) |
| --- | --- | --- |
| 1 | 0.291 | -2.5014 |
| 2 | 0.760 | -2.2230 |
| 3 | 0.071 | -2.3779 |
| 4 | -0.060 | -2.1049 |
| 5 | 0.117 | -2.3589 |
| 6 | 0.057 | -2.1654 |